Record 1
VASP calculation (PBE-GGA) on a relaxed HoBiIr crystal.

## Properties
Space group = I4mm (107)
Magnetic moment = 0.00 μB/f.u.
Calculated formation energy = -74.9 kJ/mol of formula units
VASP energy = -18.10 eV/f.u.

POSCAR file:
```
HoBiIr
1.0
-1.9023 1.9023 4.8988
1.9023 -1.9023 4.8988
1.9023 1.9023 -4.8988
Ho Bi Ir
1 1 1
Cartesian
0.0000 0.0000 0.0000 Ho
0.0000 0.0000 3.0405 Bi
0.0000 0.0000 5.9821 Ir
```



Record 2
VASP calculation (PBE-GGA) on a relaxed Ho6BiTe3Ir2 crystal.

## Properties
Space group = C2/m (12)
Magnetic moment = 0.00 μB/f.u.
Energy relative to the elements, uncorrected = -1062 meV/atom
VASP energy = -71.24 eV/f.u.

POSCAR file:
```
Ho6BiTe3Ir2
1.0
9.4584 -2.1121 0.0000
9.4584 2.1121 0.0000
-2.3529 0.0000 8.3964
Ho Bi Te Ir
6 1 3 2
Cartesian
-0.2220 0.0000 2.1910 Ho
5.0884 0.0000 3.6447 Ho
4.1486 0.0000 7.2850 Ho
12.4152 0.0000 1.1114 Ho
11.4754 0.0000 4.7516 Ho
16.7858 0.0000 6.2053 Ho
9.4584 0.0000 0.0000 Bi
1.0269 0.0000 7.0741 Te
8.2819 0.0000 4.1982 Te
15.5369 0.0000 1.3222 Te
2.4258 0.0000 2.9024 Ir
14.1380 0.0000 5.4940 Ir
```



Record 3
VASP calculation (PBE-GGA) on a relaxed K2HoBiO4 crystal.

## Properties
Space group = P2/m (10)
Magnetic moment = 0.00 μB/f.u.
Energy relative to the elements, uncorrected = -2057 meV/atom
VASP energy = -46.94 eV/f.u.

POSCAR file:
```
K2HoBiO4
1.0
6.1544 0.0000 0.0000
0.0000 3.5313 0.0000
-2.0284 0.0000 6.2807
K Ho Bi O
2 1 1 4
Cartesian
0.0000 0.0000 0.0000 K
3.0772 1.7656 0.0000 K
-1.0142 1.7656 3.1404 Ho
2.0630 0.0000 3.1404 Bi
-0.0629 0.0000 4.3238 O
0.9395 1.7656 1.9024 O
3.1864 1.7656 4.3783 O
4.1888 0.0000 1.9569 O
```



Which of these has the highest VASP energy? HoBiIr